# 1
Crystalline Ac2TbHoTe5 at its relaxed geometry, computed with PBE.

POSCAR file:
```
Ac2TbHoTe5
1.0
5.5461 0.0000 0.0000
0.0000 5.5461 0.0000
0.0000 0.0000 11.6200
Ac Ho Tb Te
2 1 1 5
Direct
0.5000 0.5000 0.7001
0.5000 0.5000 0.2999
0.0000 0.0000 0.0000
0.0000 0.0000 0.5000
0.5000 0.5000 0.0000
0.5000 0.0000 0.5000
0.0000 0.0000 0.2436
0.0000 0.5000 0.5000
0.0000 0.0000 0.7564
```

Summary:
The symmetry is P4/mmm (123). The value obtained for the density of states at the Fermi level is 6.8 states/eV/cell. Its formation energy without anion corrections is -971 meV per atom.

***

# 2
Crystalline Ac2TbHoTe6 at its relaxed geometry, computed with PBE.

POSCAR file:
```
Ac2TbHoTe6
1.0
-7.5815 2.5187 -1.3079
-5.3555 0.0354 6.0703
-2.4102 7.4238 3.2258
Ac Te Tb Ho
2 6 1 1
Direct
0.5228 0.5230 0.4314
0.0227 0.0226 0.9321
0.5902 0.1912 0.2629
0.6896 0.0925 0.7643
0.9560 0.5900 0.2630
0.4536 0.6895 0.7644
0.0923 0.4538 0.7643
0.1911 0.9558 0.2630
0.8214 0.8216 0.5354
0.3219 0.3217 0.0346
```

Summary:
The symmetry is R3 (146). The value obtained for the density of states at the Fermi level is 0.0 states/eV/cell. Its formation energy without anion corrections is -1443 meV per atom.

***

# 3
Crystalline Ac3Tb2HoTe6 at its relaxed geometry, computed with PBE.

POSCAR file:
```
Ac3Tb2HoTe6
1.0
4.4116 0.0000 0.0000
0.0000 9.3746 0.0034
-2.2058 -3.0451 9.6196
Te Ho Ac Tb
6 1 3 2
Direct
0.0054 0.2332 0.0109
0.6721 0.5689 0.3442
0.3403 0.9028 0.6806
0.9946 0.7668 0.9891
0.6597 0.0972 0.3194
0.3279 0.4311 0.6558
0.5000 0.0000 0.0000
0.1675 0.8338 0.3351
0.5000 0.5000 0.0000
0.8325 0.1662 0.6649
0.1673 0.3341 0.3345
0.8327 0.6659 0.6655
```

Summary:
The symmetry is C2/m (12). The value obtained for the density of states at the Fermi level is 5.1 states/eV/cell. Its formation energy without anion corrections is -1387 meV per atom.

***

# 4
Crystalline Ac3Tb3HoTe8 at its relaxed geometry, computed with PBE.

POSCAR file:
```
Ac3Tb3HoTe8
1.0
-1.6002 -8.7840 -0.5790
2.7939 3.5385 7.7285
-8.5130 1.7417 -2.8997
Ac Tb Te Ho
3 3 8 1
Direct
0.0000 0.5000 0.0000
0.0000 0.0000 0.0000
0.5000 0.5000 0.0000
0.5000 0.5000 0.5000
0.0000 0.5000 0.5000
0.5000 0.0000 0.5000
0.7538 0.5075 0.2697
0.2622 0.0159 0.2697
0.7538 0.0159 0.2697
0.7419 0.4838 0.7256
0.2462 0.9841 0.7303
0.2581 0.5162 0.2744
0.7378 0.9841 0.7303
0.2462 0.4925 0.7303
0.0000 0.0000 0.5000
```

Summary:
The symmetry is R-3m (166). The value obtained for the density of states at the Fermi level is 7.4 states/eV/cell. Its formation energy without anion corrections is -1433 meV per atom.

***

# 5
Crystalline Ac3TbHo3Te8 at its relaxed geometry, computed with PBE.

POSCAR file:
```
Ac3TbHo3Te8
1.0
8.9111 0.0000 0.0000
-4.4555 7.7174 -0.0281
0.0000 -5.1175 7.5604
Te Ho Tb Ac
8 3 1 3
Direct
0.7512 0.5025 0.2694
0.2591 0.5183 0.2774
0.2488 0.4975 0.7306
0.7409 0.4817 0.7226
0.2487 0.9819 0.7306
0.7513 0.0181 0.2694
0.2669 0.0181 0.2694
0.7331 0.9819 0.7306
0.0000 0.5000 0.5000
0.5000 0.0000 0.5000
0.5000 0.5000 0.5000
0.0000 0.0000 0.5000
0.0000 0.5000 0.0000
0.0000 0.0000 0.0000
0.5000 0.5000 0.0000
```

Summary:
The symmetry is R-3m (166). The value obtained for the density of states at the Fermi level is 7.3 states/eV/cell. Its formation energy without anion corrections is -1418 meV per atom.

***

# 6
Crystalline AcTb3Ho6Tm2 at its relaxed geometry, computed with PBE.

POSCAR file:
```
AcTb3Ho6Tm2
1.0
6.1682 0.0006 0.0103
-3.0821 5.3430 0.0103
-1.0445 -1.8085 11.6266
Ho Tm Tb Ac
6 2 3 1
Direct
0.5783 0.9150 0.7467
0.4217 0.0850 0.2533
0.7481 0.7481 0.2535
0.0850 0.4217 0.2533
0.9150 0.5783 0.7467
0.2519 0.2519 0.7465
0.3333 0.6667 0.0000
0.6667 0.3333 0.0000
0.8329 0.1671 0.5000
0.1671 0.8329 0.5000
0.5000 0.5000 0.5000
0.0000 0.0000 0.0000
```

Summary:
The formation enthalpy at 0 K is 0.0330 eV/atom. The symmetry is C2/m (12). The value obtained for the density of states at the Fermi level is 15.1 states/eV/cell.

***

# 7
Crystalline AcTb2Ho6Tm at its relaxed geometry, computed with PBE.

POSCAR file:
```
AcTb2Ho6Tm
1.0
-3.3297 2.5092 -8.5011
-3.6308 -8.0858 -0.5218
-4.6165 6.3621 4.1288
Ho Tb Ac Tm
12 4 2 2
Direct
0.8172 0.4424 0.9856
0.1828 0.5576 0.0144
0.1155 0.7130 0.4923
0.3172 0.9856 0.4424
0.3845 0.5077 0.2870
0.9418 0.8674 0.2496
0.4418 0.2496 0.8674
0.5582 0.7504 0.1326
0.0582 0.1326 0.7504
0.6828 0.0144 0.5576
0.6155 0.4923 0.7130
0.8845 0.2870 0.5077
0.9510 0.6824 0.7974
0.0490 0.3176 0.2026
0.5490 0.2026 0.3176
0.4510 0.7974 0.6824
0.7500 0.0287 0.9713
0.2500 0.9713 0.0287
0.2500 0.4122 0.5878
0.7500 0.5878 0.4122
```

Summary:
The formation enthalpy at 0 K is 0.1312 eV/atom. The symmetry is C2/c (15). The value obtained for the density of states at the Fermi level is 29.7 states/eV/cell.

***

# 8
Crystalline AcTbHo6Tm2 at its relaxed geometry, computed with PBE.

POSCAR file:
```
AcTbHo6Tm2
1.0
9.0252 -1.9352 -2.0084
0.9989 8.5540 -2.0019
0.9989 -2.3175 8.4740
Ac Tm Ho Tb
2 4 12 2
Direct
0.2500 0.9673 0.0327
0.7500 0.0327 0.9673
0.9500 0.6847 0.7971
0.0500 0.3153 0.2029
0.5500 0.2029 0.3153
0.4500 0.7971 0.6847
0.6790 0.0132 0.5526
0.3849 0.5131 0.2885
0.9424 0.8742 0.2477
0.8849 0.2885 0.5131
0.0576 0.1258 0.7523
0.3210 0.9868 0.4474
0.1151 0.7115 0.4869
0.6151 0.4869 0.7115
0.4424 0.2477 0.8742
0.1790 0.5526 0.0132
0.8210 0.4474 0.9868
0.5576 0.7523 0.1258
0.2500 0.4120 0.5880
0.7500 0.5880 0.4120
```

Summary:
The formation enthalpy at 0 K is 0.1326 eV/atom. The symmetry is C2/c (15). The value obtained for the density of states at the Fermi level is 29.9 states/eV/cell.

***

# 9
Crystalline AcTb2Ho5Tm at its relaxed geometry, computed with PBE.

POSCAR file:
```
AcTb2Ho5Tm
1.0
8.9589 0.0000 0.0000
0.0000 8.9589 0.0000
-4.4794 -4.4794 7.4608
Tb Ho Tm Ac
4 10 2 2
Direct
0.8869 0.6131 0.0000
0.1131 0.3869 0.0000
0.3869 0.8869 0.0000
0.6131 0.1131 0.0000
0.1681 0.0753 0.7435
0.5753 0.6681 0.7435
0.3319 0.8319 0.2565
0.0000 0.0000 0.0000
0.9247 0.4247 0.2565
0.6681 0.1681 0.7435
0.0753 0.5753 0.7435
0.8319 0.9247 0.2565
0.5000 0.5000 0.0000
0.4247 0.3319 0.2565
0.7500 0.2500 0.5000
0.2500 0.7500 0.5000
0.2500 0.2500 0.5000
0.7500 0.7500 0.5000
```

Summary:
The formation enthalpy at 0 K is 0.2839 eV/atom. The symmetry is I4/mcm (140). The value obtained for the density of states at the Fermi level is 22.0 states/eV/cell.

***

# 10
Crystalline AcTb6Ho2Tm at its relaxed geometry, computed with PBE.

POSCAR file:
```
AcTb6Ho2Tm
1.0
9.0713 -1.9661 -2.0404
0.9897 8.6100 -2.0370
0.9897 -2.3547 8.5286
Tb Ho Tm Ac
12 4 2 2
Direct
0.8172 0.4445 0.9887
0.0565 0.1297 0.7521
0.1828 0.5555 0.0113
0.1161 0.7123 0.4906
0.4435 0.2479 0.8703
0.5565 0.7521 0.1297
0.6161 0.4906 0.7123
0.3172 0.9887 0.4445
0.3839 0.5094 0.2877
0.9435 0.8703 0.2479
0.8839 0.2877 0.5094
0.6828 0.0113 0.5555
0.0488 0.3183 0.2046
0.4512 0.7954 0.6817
0.9512 0.6817 0.7954
0.5488 0.2046 0.3183
0.2500 0.4127 0.5873
0.7500 0.5873 0.4127
0.2500 0.9712 0.0288
0.7500 0.0288 0.9712
```

Summary:
The formation enthalpy at 0 K is 0.1285 eV/atom. The symmetry is C2/c (15). The value obtained for the density of states at the Fermi level is 28.9 states/eV/cell.

***

# 11
Crystalline AcTb2HoTm at its relaxed geometry, computed with PBE.

POSCAR file:
```
AcTb2HoTm
1.0
5.7951 0.0000 0.0000
0.0000 9.7853 -0.0156
0.0000 -2.0954 5.9914
Tm Ho Tb Ac
2 2 4 2
Direct
0.2500 0.6870 0.7565
0.7500 0.3130 0.2435
0.7500 0.1082 0.6277
0.2500 0.8918 0.3723
0.2500 0.5029 0.1653
0.2500 0.3040 0.5680
0.7500 0.4971 0.8347
0.7500 0.6960 0.4320
0.7500 0.8932 0.0302
0.2500 0.1068 0.9698
```

Summary:
The formation enthalpy at 0 K is 0.0442 eV/atom. The symmetry is P2_1/m (11). The value obtained for the density of states at the Fermi level is 18.0 states/eV/cell.

***

# 12
Crystalline AcTb2Y2Ho2 at its relaxed geometry, computed with PBE.

POSCAR file:
```
AcTb2Y2Ho2
1.0
-2.2995 4.5361 0.5679
-3.0432 -4.7631 2.6684
4.9209 1.7165 6.2150
Ho Ac Tb Y
2 1 2 2
Direct
0.8576 0.7153 0.5662
0.1424 0.2847 0.4338
0.0000 0.0000 0.0000
0.5738 0.1476 0.7073
0.4262 0.8524 0.2927
0.7149 0.4298 0.1508
0.2851 0.5702 0.8492
```

Summary:
The formation enthalpy at 0 K is 0.0440 eV/atom. The symmetry is C2/m (12). The value obtained for the density of states at the Fermi level is 10.7 states/eV/cell.

***

# 13
Crystalline AcTb6Y2Ho3 at its relaxed geometry, computed with PBE.

POSCAR file:
```
AcTb6Y2Ho3
1.0
6.2136 0.0004 0.0170
-3.1049 5.3822 0.0170
-1.0649 -1.8438 11.7174
Ho Y Tb Ac
3 2 6 1
Direct
0.1672 0.8328 0.5000
0.8328 0.1672 0.5000
0.5000 0.5000 0.5000
0.3334 0.6666 0.0000
0.6666 0.3334 0.0000
0.5782 0.9139 0.7443
0.4218 0.0861 0.2557
0.0861 0.4218 0.2557
0.2498 0.2498 0.7440
0.7502 0.7502 0.2560
0.9139 0.5782 0.7443
0.0000 0.0000 0.0000
```

Summary:
The formation enthalpy at 0 K is 0.0310 eV/atom. The symmetry is C2/m (12). The value obtained for the density of states at the Fermi level is 15.9 states/eV/cell.

***

# 14
Crystalline AcTbYHo2 at its relaxed geometry, computed with PBE.

POSCAR file:
```
AcTbYHo2
1.0
-0.9539 4.0785 4.0336
4.9783 -2.1534 3.3546
7.9964 4.7433 -2.9050
Tb Ac Ho Y
2 2 4 2
Direct
0.7500 0.1616 0.0009
0.2500 0.8384 0.9991
0.7500 0.5695 0.1980
0.2500 0.4305 0.8020
0.2500 0.0342 0.5955
0.2500 0.2229 0.2078
0.7500 0.7771 0.7922
0.7500 0.9658 0.4045
0.2500 0.6361 0.4026
0.7500 0.3639 0.5974
```

Summary:
The formation enthalpy at 0 K is 0.0425 eV/atom. The symmetry is P2_1/m (11). The value obtained for the density of states at the Fermi level is 18.0 states/eV/cell.

***

# 15
Crystalline AcTb2Y6Ho3 at its relaxed geometry, computed with PBE.

POSCAR file:
```
AcTb2Y6Ho3
1.0
6.2250 0.0008 0.0149
-3.1102 5.3923 0.0149
-1.0632 -1.8409 11.6978
Ho Ac Y Tb
3 1 6 2
Direct
0.8330 0.1669 0.5000
0.1669 0.8330 0.5000
0.5000 0.5000 0.5000
0.0000 0.0000 0.0000
0.0857 0.4217 0.2549
0.2505 0.2505 0.7450
0.5783 0.9143 0.7451
0.4217 0.0857 0.2549
0.9143 0.5783 0.7451
0.7495 0.7495 0.2550
0.3334 0.6666 0.0000
0.6666 0.3334 0.0000
```

Summary:
The formation enthalpy at 0 K is 0.0318 eV/atom. The symmetry is C2/m (12). The value obtained for the density of states at the Fermi level is 17.0 states/eV/cell.

***

# 16
Crystalline AcTbY2Ho6 at its relaxed geometry, computed with PBE.

POSCAR file:
```
AcTbY2Ho6
1.0
-1.0283 -8.6100 3.7346
7.7746 1.2295 4.1418
-7.2738 3.0222 4.1315
Ho Ac Y Tb
12 2 4 2
Direct
0.0595 0.1245 0.7549
0.8207 0.4496 0.9894
0.1134 0.7119 0.4811
0.9405 0.8755 0.2451
0.5595 0.7549 0.1245
0.6133 0.4811 0.7119
0.3207 0.9894 0.4496
0.3866 0.5189 0.2881
0.1793 0.5504 0.0106
0.4405 0.2451 0.8755
0.8866 0.2881 0.5189
0.6793 0.0106 0.5504
0.2500 0.9633 0.0367
0.7500 0.0367 0.9633
0.4481 0.7958 0.6874
0.0519 0.3126 0.2042
0.9481 0.6874 0.7958
0.5519 0.2042 0.3126
0.2500 0.4120 0.5880
0.7500 0.5880 0.4120
```

Summary:
The formation enthalpy at 0 K is 0.1348 eV/atom. The symmetry is C2/c (15). The value obtained for the density of states at the Fermi level is 30.2 states/eV/cell.

***

# 17
Crystalline Ac2Tb3Y6Ho at its relaxed geometry, computed with PBE.

POSCAR file:
```
Ac2Tb3Y6Ho
1.0
6.3181 -0.0001 0.0026
-3.1576 5.4724 0.0026
-1.0558 -1.8281 11.7620
Tb Y Ho Ac
3 6 1 2
Direct
0.5000 0.5000 0.5000
0.8333 0.1667 0.5000
0.1667 0.8333 0.5000
0.9148 0.5843 0.7437
0.7547 0.7547 0.2565
0.4157 0.0852 0.2563
0.5843 0.9148 0.7437
0.2453 0.2453 0.7435
0.0852 0.4157 0.2563
0.0000 0.0000 0.0000
0.3334 0.6666 0.0000
0.6666 0.3334 0.0000
```

Summary:
The formation enthalpy at 0 K is 0.0393 eV/atom. The symmetry is C2/m (12). The value obtained for the density of states at the Fermi level is 16.1 states/eV/cell.

***

# 18
Crystalline AcTbY6Ho2 at its relaxed geometry, computed with PBE.

POSCAR file:
```
AcTbY6Ho2
1.0
9.1283 -1.9437 -2.0171
0.9600 8.6509 -2.0215
0.9600 -2.3407 8.5700
Ho Ac Y Tb
4 2 12 2
Direct
0.0514 0.3130 0.2014
0.5514 0.2014 0.3130
0.9486 0.6870 0.7986
0.4486 0.7986 0.6870
0.2500 0.9686 0.0314
0.7500 0.0314 0.9686
0.1807 0.5549 0.0117
0.4423 0.2459 0.8741
0.8870 0.2890 0.5121
0.8193 0.4451 0.9883
0.3870 0.5121 0.2890
0.6807 0.0117 0.5549
0.3193 0.9883 0.4451
0.9423 0.8741 0.2459
0.1130 0.7110 0.4879
0.5577 0.7541 0.1259
0.0577 0.1259 0.7541
0.6130 0.4879 0.7110
0.7500 0.5871 0.4128
0.2500 0.4128 0.5871
```

Summary:
The formation enthalpy at 0 K is 0.1280 eV/atom. The symmetry is C2/c (15). The value obtained for the density of states at the Fermi level is 32.4 states/eV/cell.

***

# 19
Crystalline AcTbYHo3 at its relaxed geometry, computed with PBE.

POSCAR file:
```
AcTbYHo3
1.0
-1.2297 5.2557 -0.3412
-10.4943 -5.3433 -1.6199
-2.0934 -0.0593 6.6308
Ac Y Ho Tb
2 2 6 2
Direct
0.6272 0.2544 0.0169
0.3728 0.7456 0.9831
0.0750 0.1500 0.3897
0.9250 0.8500 0.6103
0.4787 0.9574 0.2837
0.7747 0.5494 0.8117
0.8185 0.6370 0.2833
0.2253 0.4506 0.1883
0.1815 0.3630 0.7167
0.5213 0.0426 0.7163
0.6680 0.3360 0.4778
0.3320 0.6640 0.5222
```

Summary:
The formation enthalpy at 0 K is 0.2285 eV/atom. The symmetry is C2/m (12). The value obtained for the density of states at the Fermi level is 20.8 states/eV/cell.

***

What are the spin magnetization values for these records? In order: 0.00, 0.00, 0.00, 0.00, 0.00, 0.00, 0.00, 0.00, 0.00, 0.00, 0.00, 0.00, 0.00, 0.00, 0.00, 0.00, 0.00, 0.00, 0.00 μB per cell.
What are the electronic total energy values for these records? In order: -41.9, -50.7, -61.7, -77.4, -77.1, -54.0, -88.0, -87.6, -76.3, -88.5, -44.4, -35.1, -58.2, -48.3, -65.5, -95.6, -65.0, -110.8, -55.1 eV/cell.